(1)
First-principles (PBE-GGA) data for LuFe4Ag after structural relaxation, as listed in Alexandria.

The structure in POSCAR format:
```
LuFe4Ag
1.0
-4.335 2.481 0.238
-4.297 -2.379 -0.938
-3.210 -0.926 3.722
Lu Fe Ag
1 4 1
Cartesian
0.000 0.000 0.000
-5.796 -0.051 0.021
-5.250 0.680 2.362
-7.408 -0.516 1.890
-5.230 -1.762 1.771
-2.961 -0.206 0.755
```

Values from the calculation:
Symmetry: F-43m, No. 216
Crystal system: cubic



(2)
First-principles (PBE-GGA) data for LuThFeAg after structural relaxation, as listed in Alexandria.

The structure in POSCAR format:
```
LuThFeAg
1.0
5.014 0.000 0.000
2.507 4.342 0.000
2.507 1.447 4.094
Lu Ag Th Fe
1 1 1 1
Cartesian
7.520 4.342 3.070
0.000 0.000 0.000
2.507 1.447 1.023
5.014 2.895 2.047
```

Values from the calculation:
Symmetry: F-43m, No. 216
Crystal system: cubic



(3)
First-principles (PBE-GGA) data for TmLuFeAg after structural relaxation, as listed in Alexandria.

The structure in POSCAR format:
```
TmLuFeAg
1.0
4.835 0.000 0.000
2.417 4.187 0.000
2.417 1.396 3.948
Lu Tm Fe Ag
1 1 1 1
Cartesian
4.835 2.791 1.974
0.000 0.000 0.000
7.252 4.187 2.961
2.417 1.396 0.987
```

Values from the calculation:
Symmetry: F-43m, No. 216
Crystal system: cubic



(4)
First-principles (PBE-GGA) data for LuZrFeAg after structural relaxation, as listed in Alexandria.

The structure in POSCAR format:
```
LuZrFeAg
1.0
-0.785 -2.895 -3.710
2.890 0.146 -3.793
2.978 -3.624 -0.870
Lu Ag Zr Fe
1 1 1 1
Cartesian
3.813 -4.780 -6.280
2.542 -3.186 -4.187
1.271 -1.593 -2.093
0.000 0.000 0.000
```

Values from the calculation:
Symmetry: F-43m, No. 216
Crystal system: cubic



Going through the records in order, we get energy of formation values of 4, -1, -64, -34 meV per atom.